## AcCeTlCd (GGA-PBE)

Data for a relaxed structure of AcCeTlCd.

Summary:
Formation enthalpy at 0 K, kJ per mole of atoms: -21
Offset from the most stable computed form, eV/atom: 0.0051
Symmetry: F-43m
Crystal system: cubic

Cell: 5.657 5.657 5.657 Å, 60.00 60.00 60.00°
Fractional positions:
Ac (0.500, 0.500, 0.500)
Tl (0.250, 0.250, 0.250)
Ce (0.000, 0.000, 0.000)
Cd (0.750, 0.750, 0.750)

=====

## AcCeTlCd (GGA-PBE)

Data for a relaxed structure of AcCeTlCd.

Summary:
Formation enthalpy at 0 K, kJ per mole of atoms: -22
Offset from the most stable computed form, eV/atom: 0.0000
Symmetry: P4mm
Crystal system: tetragonal

Cell: 3.986 3.986 7.995 Å, 90.00 90.00 90.00°
Fractional positions:
Ac (0.500, 0.500, 0.111)
Ce (0.500, 0.500, 0.603)
Tl (0.000, 0.000, 0.837)
Cd (0.000, 0.000, 0.377)

=====

## AcCeTmCd (GGA-PBE)

Data for a relaxed structure of AcCeTmCd.

Summary:
Formation enthalpy at 0 K, kJ per mole of atoms: 13
Symmetry: F-43m
Crystal system: cubic

Cell: 5.607 5.607 5.607 Å, 60.00 60.00 60.00°
Fractional positions:
Ac (0.000, 0.000, 0.000)
Tm (0.750, 0.750, 0.750)
Ce (0.250, 0.250, 0.250)
Cd (0.500, 0.500, 0.500)

=====

## Ac2CdCl (GGA-PBE)

Data for a relaxed structure of Ac2CdCl.

Summary:
Uncorrected formation energy, eV/atom: -0.737
Offset from the most stable computed form, eV/atom: 0.0564
Symmetry: P4/mmm
Crystal system: tetragonal

Cell: 3.815 3.815 8.717 Å, 90.00 90.00 90.00°
Fractional positions:
Ac (0.000, 0.000, 0.746)
Ac (0.000, 0.000, 0.254)
Cl (0.500, 0.500, 0.000)
Cd (0.500, 0.500, 0.500)

=====

## Ac2CdCl (GGA-PBE)

Data for a relaxed structure of Ac2CdCl.

Summary:
Uncorrected formation energy, eV/atom: -0.793
Offset from the most stable computed form, eV/atom: 0.0000
Symmetry: R-3m
Crystal system: trigonal

Cell: 4.634 4.634 7.805 Å, 72.73 72.73 60.00°
Fractional positions:
Ac (0.256, 0.256, 0.231)
Ac (0.744, 0.744, 0.769)
Cl (0.000, 0.000, 0.000)
Cd (0.500, 0.500, 0.500)

=====

## Li2AcCdCl8 (GGA-PBE)

Data for a relaxed structure of Li2AcCdCl8.

Summary:
Uncorrected formation energy, eV/atom: -1.481
Symmetry: P-3
Crystal system: trigonal

Cell: 6.447 6.447 8.370 Å, 90.00 90.00 120.00°
Fractional positions:
Li (0.667, 0.333, 0.278)
Li (0.333, 0.667, 0.722)
Ac (0.000, 0.000, 0.000)
Cd (0.000, 0.000, 0.500)
Cl (0.333, 0.667, 0.001)
Cl (0.292, 0.310, 0.292)
Cl (0.690, 0.982, 0.292)
Cl (0.667, 0.333, 0.999)
Cl (0.310, 0.018, 0.708)
Cl (0.708, 0.690, 0.708)
Cl (0.982, 0.292, 0.708)
Cl (0.018, 0.708, 0.292)

=====

## Ac2CdN2Cl2 (GGA-PBE)

Data for a relaxed structure of Ac2CdN2Cl2.

Summary:
Uncorrected formation energy, eV/atom: -1.389
Symmetry: C2/m
Crystal system: monoclinic

Cell: 4.089 6.466 7.466 Å, 69.57 74.11 71.57°
Fractional positions:
Ac (0.199, 0.369, 0.234)
Ac (0.801, 0.631, 0.766)
Cd (0.000, 0.000, 0.000)
N (0.186, 0.694, 0.934)
N (0.814, 0.306, 0.066)
Cl (0.584, 0.216, 0.616)
Cl (0.416, 0.784, 0.384)

=====

## AcCdClO2 (GGA-PBE)

Data for a relaxed structure of AcCdClO2.

Summary:
Uncorrected formation energy, eV/atom: -2.201
Symmetry: P2_1/m
Crystal system: monoclinic

Cell: 3.881 7.080 7.756 Å, 101.70 90.00 90.00°
Fractional positions:
Ac (0.750, 0.842, 0.294)
Ac (0.250, 0.158, 0.706)
Cd (0.750, 0.652, 0.675)
Cd (0.250, 0.348, 0.325)
Cl (0.750, 0.248, 0.057)
Cl (0.250, 0.752, 0.943)
O (0.250, 0.646, 0.367)
O (0.250, 0.066, 0.375)
O (0.750, 0.934, 0.625)
O (0.750, 0.354, 0.633)

=====

## Ac3CdRuCl (GGA-PBE)

Data for a relaxed structure of Ac3CdRuCl.

Summary:
Uncorrected formation energy, eV/atom: -0.603
Symmetry: P2_1/m
Crystal system: monoclinic

Cell: 4.455 9.248 10.010 Å, 97.54 90.00 90.00°
Fractional positions:
Ac (0.250, 0.715, 0.434)
Ac (0.750, 0.859, 0.109)
Ac (0.750, 0.440, 0.155)
Ac (0.750, 0.285, 0.566)
Ac (0.250, 0.560, 0.845)
Ac (0.250, 0.141, 0.891)
Cd (0.750, 0.806, 0.737)
Cd (0.250, 0.194, 0.263)
Ru (0.250, 0.655, 0.148)
Ru (0.750, 0.345, 0.852)
Cl (0.250, 0.068, 0.599)
Cl (0.750, 0.932, 0.401)

=====

## Ac6Cd3Co (GGA-PBE)

Data for a relaxed structure of Ac6Cd3Co.

Summary:
Formation enthalpy at 0 K, kJ per mole of atoms: -14
Symmetry: P2_1/m
Crystal system: monoclinic

Cell: 5.876 11.168 12.516 Å, 121.06 90.00 90.00°
Fractional positions:
Ac (0.250, 0.440, 0.085)
Ac (0.750, 0.560, 0.915)
Ac (0.250, 0.068, 0.099)
Ac (0.750, 0.932, 0.901)
Ac (0.250, 0.679, 0.741)
Ac (0.750, 0.321, 0.259)
Ac (0.250, 0.259, 0.459)
Ac (0.750, 0.741, 0.541)
Ac (0.250, 0.842, 0.390)
Ac (0.750, 0.158, 0.610)
Ac (0.250, 0.066, 0.781)
Ac (0.750, 0.934, 0.219)
Cd (0.250, 0.526, 0.392)
Cd (0.750, 0.474, 0.608)
Cd (0.250, 0.375, 0.775)
Cd (0.750, 0.625, 0.225)
Cd (0.250, 0.740, 0.054)
Cd (0.750, 0.260, 0.946)
Co (0.250, 0.792, 0.585)
Co (0.750, 0.208, 0.415)

=====

## Ac7CdCo3 (GGA-PBE)

Data for a relaxed structure of Ac7CdCo3.

Summary:
Formation enthalpy at 0 K, kJ per mole of atoms: -1
Symmetry: C2/m
Crystal system: monoclinic

Cell: 7.262 7.148 7.262 Å, 99.76 94.45 99.76°
Fractional positions:
Ac (0.853, 0.783, 0.853)
Ac (0.959, 0.730, 0.363)
Ac (0.637, 0.270, 0.041)
Ac (0.363, 0.730, 0.959)
Ac (0.500, 0.000, 0.500)
Ac (0.041, 0.270, 0.637)
Ac (0.147, 0.217, 0.147)
Cd (0.500, 0.500, 0.500)
Co (0.227, 0.000, 0.773)
Co (0.000, 0.500, 0.000)
Co (0.773, 0.000, 0.227)

=====

## AcCdCo (GGA-PBE)

Data for a relaxed structure of AcCdCo.

Summary:
Formation enthalpy at 0 K, kJ per mole of atoms: -11
Offset from the most stable computed form, eV/atom: 0.0237
Symmetry: C2/m
Crystal system: monoclinic

Cell: 4.151 5.566 7.053 Å, 103.23 107.11 90.00°
Fractional positions:
Co (0.771, 0.094, 0.541)
Co (0.229, 0.906, 0.459)
Cd (0.585, 0.773, 0.171)
Cd (0.415, 0.227, 0.829)
Ac (0.871, 0.695, 0.743)
Ac (0.129, 0.305, 0.257)

=====

Repeat the ninth record exactly.
## Ac3CdRuCl (GGA-PBE)

Data for a relaxed structure of Ac3CdRuCl.

Summary:
Uncorrected formation energy, eV/atom: -0.603
Symmetry: P2_1/m
Crystal system: monoclinic

Cell: 4.455 9.248 10.010 Å, 97.54 90.00 90.00°
Fractional positions:
Ac (0.250, 0.715, 0.434)
Ac (0.750, 0.859, 0.109)
Ac (0.750, 0.440, 0.155)
Ac (0.750, 0.285, 0.566)
Ac (0.250, 0.560, 0.845)
Ac (0.250, 0.141, 0.891)
Cd (0.750, 0.806, 0.737)
Cd (0.250, 0.194, 0.263)
Ru (0.250, 0.655, 0.148)
Ru (0.750, 0.345, 0.852)
Cl (0.250, 0.068, 0.599)
Cl (0.750, 0.932, 0.401)